(1)
Crystalline AcEu2Hf at its relaxed geometry. Source: the Alexandria database, functional PBE-GGA.

Output
- space group = R-3m (166)
- E_form (meV per atom) = 552

Lattice parameters (Å, degrees): 3.5405 3.5405 13.0351 82.19 82.19 60.00
Closest atoms and distances in Å follow each position.
Fractional positions:
Eu (0.0807, 0.0807, 0.7580)  1 Hf 3.11
Eu (0.9193, 0.9193, 0.2420)  1 Hf 3.11
Hf (0.0000, 0.0000, 0.0000)  2 Eu 3.11
Ac (0.5000, 0.5000, 0.5000)  6 Ac 3.54, 6 Eu 3.90

(2)
Crystalline Er3Re2B9 at its relaxed geometry. Source: the Alexandria database, functional PBE-GGA.

Output
- space group = Immm (71)
- E_form (meV per atom) = -254

Lattice parameters (Å, degrees): 3.1272 7.8470 7.8470 60.87 78.51 78.51
Closest atoms and distances in Å follow each position.
Fractional positions:
Er (0.2722, 0.7278, 0.7278)  12 B 2.69-2.94
Er (0.0000, 0.0000, 0.0000)  12 B 2.61-2.72
Er (0.7278, 0.2722, 0.2722)  12 B 2.69-2.94
B (0.6375, 0.0244, 0.7005)  2 B 1.71
B (0.8704, 0.8803, 0.3789)  2 B 1.71
B (0.6375, 0.7005, 0.0244)  2 B 1.71
B (0.8704, 0.3789, 0.8803)  2 B 1.71
B (0.0000, 0.5000, 0.5000)  4 Re 2.12
B (0.3625, 0.2995, 0.9756)  2 B 1.71
B (0.3625, 0.9756, 0.2995)  2 B 1.71
B (0.1296, 0.6211, 0.1197)  2 B 1.71
B (0.1296, 0.1197, 0.6211)  2 B 1.71
Re (0.5000, 0.6797, 0.3203)  4 B 2.12-2.20
Re (0.5000, 0.3203, 0.6797)  4 B 2.12-2.20

(3)
Crystalline DyZnAuO4 at its relaxed geometry. Source: the Alexandria database, functional PBE-GGA.

Output
- space group = Imma (74)
- uncorrected formation energy (meV per atom) = -1562

Lattice parameters (Å, degrees): 6.2754 6.8238 6.7799 119.79 90.00 117.38
Closest atoms and distances in Å follow each position.
Fractional positions:
O (0.6788, 0.9096, 0.2048)  1 Zn 1.83
O (0.2308, 0.9096, 0.2048)  1 Zn 1.83
O (0.2651, 0.5302, 0.7115)  2 Au 2.06
O (0.7349, 0.4698, 0.6813)  2 Au 2.06
O (0.7349, 0.4698, 0.2885)  2 Au 2.06
O (0.2651, 0.5302, 0.3187)  2 Au 2.06
O (0.3212, 0.0904, 0.7952)  1 Zn 1.83
O (0.7692, 0.0904, 0.7952)  1 Zn 1.83
Zn (0.1036, 0.2072, 0.8536)  2 O 1.83
Zn (0.8964, 0.7928, 0.1464)  2 O 1.83
Au (0.5000, 0.5000, 0.5000)  4 O 2.06
Au (0.0000, 0.5000, 0.5000)  4 O 2.06
Dy (0.5000, 0.0000, 0.5000)  6 O 2.25-2.39
Dy (0.5000, 0.0000, 0.0000)  6 O 2.25-2.39

(4)
Crystalline BaCrSb3 at its relaxed geometry. Source: the Alexandria database, functional PBE-GGA.

Output
- space group = Pm-3m (221)
- uncorrected formation energy (meV per atom) = 1331

Lattice parameters (Å, degrees): 6.2094 6.2094 6.2094 90.00 90.00 90.00
Closest atoms and distances in Å follow each position.
Fractional positions:
Sb (0.0000, 0.5000, 0.0000)  2 Ba 3.10
Sb (0.0000, 0.0000, 0.5000)  2 Ba 3.10
Sb (0.5000, 0.0000, 0.0000)  2 Ba 3.10
Cr (0.5000, 0.5000, 0.5000)  12 Sb 4.39
Ba (0.0000, 0.0000, 0.0000)  6 Sb 3.10